(1)
Material: ThAl2Fe10
Method: DFT, GGA-PBE
State: relaxed

Structure (POSCAR):
```
ThAl2Fe10
1.0
-4.414 -2.844 3.819
5.294 -2.927 2.361
0.889 6.106 5.576
Th Al Fe
2 4 20
Direct
0.878 0.122 0.750
0.122 0.878 0.250
0.500 0.000 0.000
0.500 0.000 0.500
0.000 0.500 0.500
0.000 0.500 0.000
0.381 0.138 0.750
0.619 0.862 0.250
0.862 0.619 0.750
0.138 0.381 0.250
0.516 0.757 0.750
0.484 0.243 0.250
0.243 0.484 0.750
0.757 0.516 0.250
0.847 0.153 0.395
0.153 0.847 0.895
0.847 0.153 0.105
0.153 0.847 0.605
0.604 0.396 0.921
0.396 0.604 0.421
0.604 0.396 0.579
0.396 0.604 0.079
0.763 0.763 0.000
0.237 0.237 0.500
0.237 0.237 0.000
0.763 0.763 0.500
```

Output
- Space group: Cmcm
- Formation energy: -0.112 eV per atom

=====

(2)
Material: NaAsOs2Au
Method: DFT, GGA-PBE
State: relaxed

Structure (POSCAR):
```
NaAsOs2Au
1.0
4.655 0.000 0.000
0.000 4.604 0.000
0.000 0.000 4.655
Os As Au Na
2 1 1 1
Direct
0.000 0.000 0.500
0.500 0.000 0.000
0.500 0.500 0.500
0.000 0.500 0.000
0.000 0.000 0.000
```

Output
- Space group: P4/mmm
- Formation energy: 2.579 eV per atom

=====

(3)
Material: InTe2Pd6
Method: DFT, GGA-PBE
State: relaxed

Structure (POSCAR):
```
InTe2Pd6
1.0
3.530 0.000 0.000
0.000 6.348 -3.665
0.000 0.000 7.330
In Te Pd
1 2 6
Direct
0.500 0.000 0.000
0.000 0.333 0.667
0.000 0.667 0.333
0.000 0.719 0.000
0.500 0.616 0.616
0.500 0.000 0.384
0.000 0.000 0.719
0.000 0.281 0.281
0.500 0.384 0.000
```

Output
- Uncorrected energy: -4.798 eV per atom
- Space group: P-62m

=====

(4)
Material: Y2MoBr
Method: DFT, GGA-PBE
State: relaxed

Structure (POSCAR):
```
Y2MoBr
1.0
6.290 -0.003 0.000
3.538 5.201 0.000
-4.914 -2.599 2.943
Y Mo Br
2 1 1
Direct
0.000 0.000 0.000
0.250 0.750 0.500
0.750 0.250 0.500
0.500 0.500 0.000
```

Output
- Space group: I-4m2
- Relative energy among the computed polymorphs: 610 meV/atom

=====

(5)
Material: Tm3Co2Ge3
Method: DFT, GGA-PBE
State: relaxed

Structure (POSCAR):
```
Tm3Co2Ge3
1.0
4.143 0.000 0.000
-2.071 5.131 0.000
0.000 0.000 13.844
Tm Co Ge
6 4 6
Direct
0.918 0.836 0.391
0.082 0.164 0.891
0.918 0.836 0.109
0.082 0.164 0.609
0.641 0.282 0.250
0.359 0.718 0.750
0.794 0.588 0.902
0.206 0.412 0.402
0.794 0.588 0.598
0.206 0.412 0.098
0.629 0.257 0.461
0.371 0.743 0.961
0.629 0.257 0.039
0.371 0.743 0.539
0.340 0.679 0.250
0.660 0.321 0.750
```

Output
- Space group: Cmcm
- Relative energy among the computed polymorphs: 0 meV/atom
- Formation energy: -0.739 eV per atom

=====

(6)
Material: PaHgRh4S8
Method: DFT, GGA-PBE
State: relaxed

Structure (POSCAR):
```
PaHgRh4S8
1.0
-5.064 1.566 -5.089
-7.142 -0.330 1.700
-3.945 6.054 0.483
Pa Hg Rh S
1 1 4 8
Direct
0.993 0.993 0.022
0.370 0.370 0.890
0.627 0.627 0.118
0.999 0.509 0.493
0.509 0.999 0.493
0.999 0.999 0.493
0.251 0.791 0.706
0.791 0.251 0.706
0.251 0.251 0.706
0.231 0.231 0.308
0.738 0.238 0.285
0.238 0.738 0.285
0.738 0.738 0.285
0.763 0.763 0.710
```

Output
- Uncorrected energy: -5.773 eV per atom
- Space group: R3m

=====

(7)
Material: Fe2SbSe
Method: DFT, GGA-PBE
State: relaxed

Structure (POSCAR):
```
Fe2SbSe
1.0
-1.974 -0.624 3.974
-0.387 3.418 2.871
-4.022 1.800 0.810
Sb Fe Se
1 2 1
Direct
0.500 0.500 0.500
0.250 0.250 0.250
0.750 0.750 0.750
0.000 0.000 0.000
```

Output
- Space group: Fm-3m
- Relative energy among the computed polymorphs: 367 meV/atom

=====

(8)
Material: BaLi4AgAu2
Method: DFT, GGA-PBE
State: relaxed

Structure (POSCAR):
```
BaLi4AgAu2
1.0
4.524 0.000 0.000
2.262 3.918 0.000
2.262 1.306 9.402
Ba Li Ag Au
1 4 1 2
Direct
0.000 0.000 0.000
0.412 0.412 0.764
0.864 0.864 0.407
0.136 0.136 0.593
0.588 0.588 0.236
0.500 0.500 0.500
0.761 0.761 0.717
0.239 0.239 0.283
```

Output
- Space group: R-3m
- Formation energy: -0.361 eV per atom

=====

(9)
Material: Li2CuPd
Method: DFT, GGA-PBE
State: relaxed

Structure (POSCAR):
```
Li2CuPd
1.0
-2.076 0.630 -1.752
-2.595 -5.833 0.975
-3.369 -2.878 2.954
Li Cu Pd
2 1 1
Direct
0.613 0.636 0.575
0.612 0.635 0.066
0.112 0.135 0.821
0.113 0.135 0.321
```

Output
- Space group: P2/m
- Formation energy: -0.241 eV per atom

=====

(10)
Material: SrCaAg
Method: DFT, GGA-PBE
State: relaxed

Structure (POSCAR):
```
SrCaAg
1.0
-0.969 -5.315 0.125
1.708 -2.961 4.186
-3.571 -2.013 3.521
Sr Ca Ag
1 1 1
Direct
0.500 0.500 0.500
0.000 0.000 0.000
0.750 0.750 0.750
```

Output
- Space group: F-43m
- Relative energy among the computed polymorphs: 100 meV/atom
- Formation energy: -0.131 eV per atom

=====

(11)
Material: BSbBr3
Method: DFT, GGA-PBE
State: relaxed

Structure (POSCAR):
```
BSbBr3
1.0
4.826 0.000 0.000
0.000 4.826 0.000
0.000 0.000 4.826
B Sb Br
1 1 3
Direct
0.000 0.000 0.000
0.500 0.500 0.500
0.000 0.500 0.000
0.000 0.000 0.500
0.500 0.000 0.000
```

Output
- Space group: Pm-3m
- Relative energy among the computed polymorphs: 0 meV/atom

=====

(12)
Material: Ca2DyCd2
Method: DFT, GGA-PBE
State: relaxed

Structure (POSCAR):
```
Ca2DyCd2
1.0
-1.161 -3.404 -0.819
2.486 -0.158 -2.868
8.809 -4.293 5.357
Ca Dy Cd
2 1 2
Direct
0.000 0.173 0.653
0.000 0.827 0.347
0.000 0.000 0.000
0.500 0.416 0.169
0.500 0.584 0.831
```

Output
- Space group: Cmmm
- Formation energy: -0.228 eV per atom

=====

Question: What is the formula in the third record?
Answer: InTe2Pd6